PaAl2H8 | PBE-GGA | optimized geometry

Results
density of states at the Fermi level = 0.283 states/eV per atom
volume = 8.692 Å³/atom
magnetic moment = 0.00 μB/f.u.
energy = -3.966 eV per atom

abc: 4.400 4.400 4.938
angles: 90.00 90.00 90.00
Space group P4/mmm (No. 123)
Symmetry-distinct sites (fractional):
Pa (0.000, 0.000, 0.000) (multiplicity 1)
Al (0.000, 0.500, 0.500) (multiplicity 2)
H (0.256, 0.256, 0.288) (multiplicity 8)

---

GdScCdGa | PBE-GGA | optimized geometry

Results
density of states at the Fermi level = 0.863 states/eV per atom
formation energy from the elements = -0.428 eV/atom
volume = 22.924 Å³/atom
magnetic moment = 7.60 μB/f.u.

abc: 7.158 7.158 7.158
angles: 90.00 90.00 90.00
Space group F-43m (No. 216)
Symmetry-distinct sites (fractional):
Gd (0.000, 0.000, 0.000) (multiplicity 4)
Sc (0.000, 0.000, 0.500) (multiplicity 4)
Cd (0.250, 0.250, 0.250) (multiplicity 4)
Ga (0.250, 0.250, 0.750) (multiplicity 4)

---

K2ZrAlS5 | PBE-GGA | optimized geometry

Results
formation energy without anion corrections = -1206.2 meV/atom
density of states at the Fermi level = 0.448 states/eV per atom
volume = 27.017 Å³/atom
magnetic moment = 0.73 μB/f.u.

abc: 3.686 19.064 13.840
angles: 90.00 90.00 90.00
Space group Cmc2_1 (No. 36)
Symmetry-distinct sites (fractional):
K (0.000, 0.121, 0.000) (multiplicity 4)
K (0.000, 0.132, 0.631) (multiplicity 4)
Zr (0.000, 0.211, 0.341) (multiplicity 4)
Al (0.000, 0.430, 0.748) (multiplicity 4)
S (0.000, 0.061, 0.345) (multiplicity 4)
S (0.000, 0.296, 0.965) (multiplicity 4)
S (0.000, 0.312, 0.706) (multiplicity 4)
S (0.000, 0.338, 0.319) (multiplicity 4)
S (0.000, 0.493, 0.613) (multiplicity 4)

---

Hf3ReOs2 | PBE-GGA | optimized geometry

Results
density of states at the Fermi level = 0.551 states/eV per atom
formation energy from the elements = -0.592 eV/atom
volume = 17.309 Å³/atom
magnetic moment = 0.00 μB/f.u.

abc: 3.255 3.255 9.803
angles: 90.00 90.00 90.00
Space group P4/mmm (No. 123)
Symmetry-distinct sites (fractional):
Hf (0.000, 0.000, 0.000) (multiplicity 1)
Hf (0.000, 0.000, 0.334) (multiplicity 2)
Re (0.500, 0.500, 0.500) (multiplicity 1)
Os (0.500, 0.500, 0.165) (multiplicity 2)